Below is WSe2S after structural relaxation, with properties calculated at the GGA-PBEsol level.

Cell and atoms, written as POSCAR:
```
WSe2S
1.0
-3.188 3.188 4.525
3.188 -3.188 4.525
3.188 3.188 -4.525
W Se S
2 4 2
Cartesian
0.000 0.000 0.000
0.000 3.188 2.262
4.782 1.368 -1.131
1.368 1.594 1.131
-1.594 1.820 3.394
1.820 1.594 5.656
3.188 0.000 2.262
0.000 0.000 4.525
```

## Properties
Formation energy without anion corrections: 0.60 eV/atom
Final energy: -0.216 Ha/atom

Below is TlPbCl after structural relaxation, with properties calculated at the GGA-PBEsol level.

Cell and atoms, written as POSCAR:
```
TlPbCl
1.0
-1.703 1.703 6.787
1.703 -1.703 6.787
1.703 1.703 -6.787
Tl Pb Cl
1 1 1
Cartesian
0.000 0.000 0.000
0.000 0.000 4.294
0.000 0.000 8.924
```

## Properties
Formation energy without anion corrections: -0.31 eV/atom
Final energy: -0.117 Ha/atom

Below is Cs2NdAgCl6 after structural relaxation, with properties calculated at the GGA-PBEsol level.

Cell and atoms, written as POSCAR:
```
Cs2NdAgCl6
1.0
0.000 5.366 5.366
5.366 0.000 5.366
5.366 5.366 0.000
Cs Nd Ag Cl
2 1 1 6
Cartesian
2.683 2.683 2.683
8.048 8.048 8.048
0.000 0.000 0.000
5.366 5.366 5.366
5.366 5.366 2.695
5.366 2.695 5.366
8.036 5.366 5.366
2.695 5.366 5.366
5.366 8.036 5.366
5.366 5.366 8.036
```

## Properties
Formation energy without anion corrections: -1.81 eV/atom
Final energy: -0.149 Ha/atom

Below is TaCo3Tc after structural relaxation, with properties calculated at the GGA-PBEsol level.

Cell and atoms, written as POSCAR:
```
TaCo3Tc
1.0
4.238 0.000 0.000
0.000 4.238 0.000
0.000 0.000 4.238
Ta Co Tc
1 3 1
Cartesian
0.000 0.000 0.000
0.000 2.119 2.119
2.119 0.000 2.119
2.119 2.119 0.000
2.119 2.119 2.119
```

## Properties
DFT formation energy: 1.411 eV per atom
Final energy: -0.294 Ha/atom